Compound: Tl4SnS3
Source: Alexandria
Functional: SCAN
Structure: PBEsol geometry

Computed properties:
Total magnetic moment = 0.0 μB per cell
Total energy = -44.643 eV per atom
Energy relative to the elements, uncorrected = -2.90 eV per formula unit

a b c (Å): 7.8812 7.8812 13.3585
angles (deg): 90.00 90.00 90.00
Last column: nearest neighbours and their distance in Å.
Space group P4/ncc (No. 130, origin choice 2)
Asymmetric unit:
Tl 0.0947 0.6035 0.1009  3 S 2.86-3.16
Sn 0.2500 0.2500 0.2384  1 S 2.53
S 0.0850 0.5850 0.7500  4 Tl 2.86-3.16, 2 Sn 2.95
S 0.2500 0.2500 0.4276  1 Sn 2.53